A plane-wave DFT calculation with PBE-GGA was carried out for a relaxed structure of ScMn2Re.

Values from the calculation:
Magnetization in μB/cell: 3.85
Energy of formation from the pure elements in eV per atom: 0.33

Cell and atoms, written as CIF:
```
data_ScMn2Re
_cell_length_a 8.806
_cell_length_b 8.806
_cell_length_c 8.806
_cell_angle_alpha 18.55
_cell_angle_beta 18.55
_cell_angle_gamma 18.55
_space_group_name_H-M_alt 'P 1'
_space_group_IT_number 1
_space_group_name_Hall 'P 1'
loop_
_atom_site_label
_atom_site_type_symbol
_atom_site_fract_x
_atom_site_fract_y
_atom_site_fract_z
Sc1 Sc 0.749 0.749 0.749
Re1 Re 0.509 0.509 0.509
Mn1 Mn 0.992 0.992 0.992
Mn2 Mn 0.249 0.249 0.249
```